VASP calculation (PBE) on crystalline TcBrNF2 at its relaxed geometry.

The structure in POSCAR format:
```
TcBrNF2
1.0
4.855 0.000 0.000
0.000 4.855 0.000
0.000 0.000 3.665
N Tc F Br
1 1 2 1
direct
0.000 0.000 0.500
0.500 0.500 0.500
0.500 0.000 0.000
0.000 0.500 0.000
0.000 0.000 0.000
```

The calculated total energy is -0.2808 Ry per atom. The value obtained for the volume is 17.27 A^3/atom. The formation energy from raw total energies is 1.0013 eV per atom.